A plane-wave DFT calculation with PBE was carried out for a relaxed structure of CsBaScO3.

Output
Its total magnetization is 0.0 μB/f.u. The calculation puts the formation energy from raw total energies at -2329 meV/atom.

```
data_CsBaScO3
_cell_length_a 15.0308
_cell_length_b 4.1042
_cell_length_c 8.5926
_cell_angle_alpha 90.00
_cell_angle_beta 105.11
_cell_angle_gamma 90.00
_space_group_name_H-M_alt 'C 1 2/m 1'
_space_group_IT_number 12
loop_
_space_group_symop_operation_xyz
'x,y,z'
'-x,-y,-z'
'-x,y,-z'
'x,-y,z'
'x+1/2,y+1/2,z'
'-x+1/2,-y+1/2,-z'
'-x+1/2,y+1/2,-z'
'x+1/2,-y+1/2,z'
loop_
_atom_site_label
_atom_site_type_symbol
_atom_site_fract_x
_atom_site_fract_y
_atom_site_fract_z
Cs1 Cs 0.1590 0.0000 0.0772
Ba1 Ba 0.1586 0.0000 0.5848
Sc1 Sc 0.0073 0.5000 0.2856
O1 O 0.0073 0.0000 0.3304
O2 O 0.1312 0.5000 0.7960
O3 O 0.1485 0.5000 0.3540
```